The following is a DFT calculation (PBE) of a relaxed structure of YP2Pt.

Geometry as POSCAR:
```
YP2Pt
1.0
-4.651 -3.056 -2.435
-0.637 -5.946 -1.068
1.594 4.213 4.075
Pt Y P
1 1 2
direct
0.539 0.539 0.000
0.287 0.787 0.500
0.693 0.193 0.500
0.981 0.981 0.000
```

The energy above the most stable polymorph in this dataset comes out at 0.359 eV per atom. As for the formation energy: -2.84 eV per formula unit. Its symmetry is Imm2 (44).

The following is a DFT calculation (PBE) of a relaxed structure of YPPt4.

Geometry as POSCAR:
```
YPPt4
1.0
3.827 0.000 -0.993
0.000 6.762 0.000
0.012 0.000 7.920
Pt Y P
8 2 2
direct
0.917 0.250 0.834
0.500 0.000 0.000
0.317 0.039 0.634
0.683 0.539 0.366
0.083 0.750 0.166
0.683 0.961 0.366
0.317 0.461 0.634
0.500 0.500 0.000
0.103 0.250 0.205
0.897 0.750 0.795
0.760 0.250 0.520
0.240 0.750 0.480
```

The energy above the most stable polymorph in this dataset comes out at 0.000 eV per atom. As for the formation energy: -4.79 eV per formula unit. Its symmetry is Cmcm (63).

The following is a DFT calculation (PBE) of a relaxed structure of Y2PPt3.

Geometry as POSCAR:
```
Y2PPt3
1.0
-4.988 0.928 -2.619
-1.313 -5.465 -1.007
-0.371 1.903 8.389
Pt Y P
6 4 2
direct
0.353 0.353 0.176
0.647 0.647 0.824
0.177 0.177 0.824
0.177 0.177 0.355
0.823 0.823 0.645
0.823 0.823 0.176
0.250 0.750 0.500
0.762 0.238 0.000
0.238 0.762 0.000
0.750 0.250 0.500
0.334 0.334 0.669
0.666 0.666 0.331
```

As for the formation energy: -7.10 eV per formula unit. Its symmetry is Fmmm (69).

The following is a DFT calculation (PBE) of a relaxed structure of YPPt.

Geometry as POSCAR:
```
YPPt
1.0
0.696 6.806 -0.025
-5.498 -2.865 2.892
1.946 -0.186 3.515
Y Pt P
3 3 3
direct
0.000 0.596 0.500
0.404 0.404 0.500
0.596 0.000 0.500
0.000 0.266 0.000
0.734 0.734 0.000
0.266 0.000 0.000
0.333 0.667 0.000
0.667 0.333 0.000
0.000 0.000 0.500
```

As for the formation energy: -3.73 eV per formula unit. Its symmetry is P-62m (189).